Computed, not measured: Li2ErAsS4 after structural relaxation at the GGA-PBE level of DFT.

Computed properties:
Crystal system ... monoclinic
Formation energy (no corrections) ... -1192 meV/atom

The structure in CIF format:
```
data_Li2ErAsS4
_chemical_formula_sum 'Li2 Er1 As1 S4'
_cell_length_a 6.5122
_cell_length_b 3.7896
_cell_length_c 6.5788
_cell_angle_alpha 90.00
_cell_angle_beta 109.62
_cell_angle_gamma 90.00
_symmetry_space_group_name_H-M 'P 1 2/m 1'
_symmetry_Int_Tables_number 10
loop_
_symmetry_equiv_pos_as_xyz
'x,y,z'
'-x,-y,-z'
'-x,y,-z'
'x,-y,z'
loop_
_atom_site_label
_atom_site_fract_x
_atom_site_fract_y
_atom_site_fract_z
Li1 0.0000 0.0000 0.0000
Li2 0.0000 0.5000 0.5000
Er1 0.5000 0.0000 0.5000
As1 0.5000 0.5000 0.0000
S1 0.2531 0.5000 0.2407
S2 0.2572 0.0000 0.7625
```